First-principles (PBE) data for a relaxed TmUPa crystal, as listed in the Open Quantum Materials Database.

Energy relative to the elements ... 3.4 eV per formula unit
Space-group type ... No. 216
Calculated volume ... 87.0 Å³ per cell

abc: 4.9727 4.9727 4.9727
angles: 60.00 60.00 60.00
Last column: nearest neighbours and their distance in Å.
Element x y z (fractional)
Pa1 0.2500 0.2500 0.2500  4 U 3.05
Tm1 0.7500 0.7500 0.7500  4 U 3.05
U1 0.0000 0.0000 0.0000  4 Tm 3.05, 4 Pa 3.05

***

First-principles (PBE) data for a relaxed SmTmAg2Sn2 crystal, as listed in the Open Quantum Materials Database.

Raw total energy ... -4.40 eV/atom
Space-group type ... No. 156
Calculated volume ... 143.5 Å³ per cell

abc: 4.7358 4.7358 7.3871
angles: 90.00 90.00 120.00
Last column: nearest neighbours and their distance in Å.
Element x y z (fractional)
Ag1 0.6667 0.3333 0.4606  3 Sn 2.80, 3 Sm 3.11
Ag2 0.3333 0.6667 0.9431  4 Sn 2.82-2.96, 3 Tm 3.05
Sm1 0.0000 0.0000 0.2590  3 Ag 3.11, 6 Sn 3.20-3.44
Sn1 0.6667 0.3333 0.0346  4 Ag 2.82-3.15
Sn2 0.3333 0.6667 0.5423  4 Ag 2.80-2.96
Tm1 0.0000 0.0000 0.7603  3 Ag 3.05, 6 Sn 3.17-3.40

***

First-principles (PBE) data for a relaxed GdYMg crystal, as listed in the Open Quantum Materials Database.

Raw total energy ... -4.29 eV/atom
Space-group type ... No. 63
Calculated volume ... 175.8 Å³ per cell

abc: 8.8390 8.8390 5.5158
angles: 90.00 90.00 155.92
Last column: nearest neighbours and their distance in Å.
Element x y z (fractional)
Gd1 0.0917 0.9083 0.2500  6 Mg 3.29-3.35, 4 Y 3.61-3.65, 2 Gd 3.69
Gd2 0.9083 0.0917 0.7500  6 Mg 3.29-3.35, 4 Y 3.61-3.65, 2 Gd 3.69
Mg1 0.4338 0.5662 0.2500  6 Gd 3.29-3.35, 2 Y 3.32, 4 Mg 3.58-3.69
Mg2 0.5662 0.4338 0.7500  6 Gd 3.29-3.35, 2 Y 3.32, 4 Mg 3.58-3.69
Y1 0.7740 0.2260 0.2500  2 Mg 3.32, 6 Y 3.42-3.69, 4 Gd 3.61-3.65
Y2 0.2260 0.7740 0.7500  2 Mg 3.32, 6 Y 3.42-3.69, 4 Gd 3.61-3.65

***

First-principles (PBE) data for a relaxed LaAuS2 crystal, as listed in the Open Quantum Materials Database.

Raw total energy ... -5.48 eV/atom
Space-group type ... No. 14
Calculated volume ... 367.8 Å³ per cell

abc: 6.2859 7.3616 7.9490
angles: 90.00 90.18 90.00
Last column: nearest neighbours and their distance in Å.
Element x y z (fractional)
Au1 0.9930 0.2456 0.0017  3 S 2.40-2.64
Au2 0.0070 0.7456 0.4983  3 S 2.40-2.64
Au3 0.9930 0.2544 0.5017  3 S 2.40-2.64
Au4 0.0070 0.7544 0.9983  3 S 2.40-2.64
La1 0.3376 0.4659 0.2490  6 S 2.93-3.05
La2 0.6624 0.9659 0.2510  6 S 2.93-3.05
La3 0.3376 0.0341 0.7490  6 S 2.93-3.05
La4 0.6624 0.5341 0.7510  6 S 2.93-3.05
S1 0.5728 0.2480 0.0000  1 Au 2.64, 4 La 2.93-2.95
S2 0.4272 0.7520 0.0000  1 Au 2.64, 4 La 2.93-2.95
S3 0.8880 0.5991 0.2457  2 Au 2.40
S4 0.1120 0.0991 0.2543  2 Au 2.40
S5 0.5728 0.2520 0.5000  1 Au 2.64, 4 La 2.93-2.95
S6 0.4272 0.7480 0.5000  1 Au 2.64, 4 La 2.93-2.95
S7 0.8880 0.9009 0.7457  2 Au 2.40
S8 0.1120 0.4009 0.7543  2 Au 2.40

***

First-principles (PBE) data for a relaxed SrFeH3 crystal, as listed in the Open Quantum Materials Database.

Raw total energy ... -4.26 eV/atom
Space-group type ... No. 225
Calculated volume ... 97.5 Å³ per cell

abc: 5.1667 5.1667 5.1667
angles: 60.00 60.00 60.00
Last column: nearest neighbours and their distance in Å.
Element x y z (fractional)
Fe1 0.0000 0.0000 0.0000  6 H 1.82
Fe2 0.5000 0.5000 0.5000  6 H 1.83
H1 0.7509 0.2491 0.2491  2 Fe 1.82-1.83
H2 0.2491 0.7509 0.2491  2 Fe 1.82-1.83
H3 0.7509 0.7509 0.2491  2 Fe 1.82-1.83
H4 0.7509 0.2491 0.7509  2 Fe 1.82-1.83
H5 0.2491 0.7509 0.7509  2 Fe 1.82-1.83
H6 0.2491 0.2491 0.7509  2 Fe 1.82-1.83
Sr1 0.2500 0.2500 0.2500  12 H 2.58
Sr2 0.7500 0.7500 0.7500  12 H 2.58

***

First-principles (PBE) data for a relaxed K2Ta3Cl9 crystal, as listed in the Open Quantum Materials Database.

Raw total energy ... -5.37 eV/atom
Space-group type ... No. 12
Calculated volume ... 722.8 Å³ per cell

abc: 9.5392 9.7165 9.7165
angles: 117.63 102.68 102.68
Last column: nearest neighbours and their distance in Å.
Element x y z (fractional)
Cl1 0.1789 0.8761 0.0846  2 Ta 2.47
Cl2 0.8232 0.5048 0.1096  1 Ta 2.62
Cl3 0.8211 0.9154 0.1239  2 Ta 2.47
Cl4 0.5124 0.4072 0.1973  2 Ta 2.48-2.49
Cl5 0.5000 0.7916 0.2084  2 Ta 2.48
Cl6 0.2084 0.2688 0.2688  1 Ta 2.57
Cl7 0.8341 0.3244 0.3244  2 Ta 2.48
Cl8 0.5124 0.1973 0.4072  2 Ta 2.48-2.49
Cl9 0.1768 0.8904 0.4952  1 Ta 2.62
Cl10 0.8232 0.1096 0.5048  1 Ta 2.62
Cl11 0.4876 0.8027 0.5928  2 Ta 2.48-2.49
Cl12 0.1659 0.6756 0.6756  2 Ta 2.48
Cl13 0.7916 0.7312 0.7312  1 Ta 2.57
Cl14 0.5000 0.2084 0.7916  2 Ta 2.48
Cl15 0.4876 0.5928 0.8027  2 Ta 2.48-2.49
Cl16 0.1789 0.0846 0.8761  2 Ta 2.47
Cl17 0.1768 0.4952 0.8904  1 Ta 2.62
Cl18 0.8211 0.1239 0.9154  2 Ta 2.47
K1 0.1762 0.5523 0.2297  4 Cl 3.02-3.16
K2 0.8238 0.7703 0.4477  4 Cl 3.02-3.16
K3 0.1762 0.2297 0.5523  4 Cl 3.02-3.16
K4 0.8238 0.4477 0.7703  4 Cl 3.02-3.16
Ta1 0.6405 0.2217 0.0477  5 Cl 2.47-2.62
Ta2 0.3697 0.1186 0.1186  5 Cl 2.47-2.57
Ta3 0.6405 0.0477 0.2217  5 Cl 2.47-2.62
Ta4 0.3595 0.9523 0.7783  5 Cl 2.47-2.62
Ta5 0.6303 0.8814 0.8814  5 Cl 2.47-2.57
Ta6 0.3595 0.7783 0.9523  5 Cl 2.47-2.62

***

First-principles (PBE) data for a relaxed Gd2CuSe3 crystal, as listed in the Open Quantum Materials Database.

Raw total energy ... -5.31 eV/atom
Space-group type ... No. 63
Calculated volume ... 276.4 Å³ per cell

abc: 6.9142 6.9142 10.6325
angles: 90.00 90.00 147.06
Last column: nearest neighbours and their distance in Å.
Element x y z (fractional)
Cu1 0.4737 0.5263 0.2500  4 Se 2.46-2.53
Cu2 0.5263 0.4737 0.7500  4 Se 2.46-2.53
Gd1 0.0000 0.0000 0.0000  6 Se 2.89-2.94
Gd2 0.7683 0.2317 0.2500  6 Se 2.92-3.03
Gd3 0.0000 0.0000 0.5000  6 Se 2.89-2.94
Gd4 0.2317 0.7683 0.7500  6 Se 2.92-3.03
Se1 0.3517 0.6483 0.0754  1 Cu 2.46
Se2 0.0943 0.9057 0.2500  2 Cu 2.53
Se3 0.3517 0.6483 0.4246  1 Cu 2.46
Se4 0.6483 0.3517 0.5754  1 Cu 2.46
Se5 0.9057 0.0943 0.7500  2 Cu 2.53
Se6 0.6483 0.3517 0.9246  1 Cu 2.46

***

First-principles (PBE) data for a relaxed LuTlCdFe crystal, as listed in the Open Quantum Materials Database.

Raw total energy ... -3.81 eV/atom
Space-group type ... No. 216
Calculated volume ... 83.0 Å³ per cell

abc: 4.8968 4.8968 4.8968
angles: 60.00 60.00 60.00
Last column: nearest neighbours and their distance in Å.
Element x y z (fractional)
Cd1 0.2500 0.2500 0.2500  4 Lu 3.00, 4 Tl 3.00
Fe1 0.7500 0.7500 0.7500  4 Tl 3.00, 4 Lu 3.00
Lu1 0.5000 0.5000 0.5000  4 Cd 3.00, 4 Fe 3.00
Tl1 0.0000 0.0000 0.0000  4 Fe 3.00, 4 Cd 3.00

***

First-principles (PBE) data for a relaxed CdIn crystal, as listed in the Open Quantum Materials Database.

Raw total energy ... -1.70 eV/atom
Space-group type ... No. 194
Calculated volume ... 110.0 Å³ per cell

abc: 4.5096 4.5096 6.2438
angles: 90.00 90.00 120.00
Last column: nearest neighbours and their distance in Å.
Element x y z (fractional)
Cd1 0.3333 0.6667 0.2500  6 In 3.04
Cd2 0.6667 0.3333 0.7500  6 In 3.04
In1 0.0000 0.0000 0.0000  6 Cd 3.04, 2 In 3.12
In2 0.0000 0.0000 0.5000  6 Cd 3.04, 2 In 3.12

***

First-principles (PBE) data for a relaxed PrPuGa crystal, as listed in the Open Quantum Materials Database.

Raw total energy ... -7.06 eV/atom
Space-group type ... No. 216
Calculated volume ... 79.0 Å³ per cell

abc: 4.8156 4.8156 4.8156
angles: 60.00 60.00 60.00
Last column: nearest neighbours and their distance in Å.
Element x y z (fractional)
Ga1 0.2500 0.2500 0.2500  4 Pu 2.95
Pr1 0.7500 0.7500 0.7500  4 Pu 2.95
Pu1 0.0000 0.0000 0.0000  4 Pr 2.95, 4 Ga 2.95

***

First-principles (PBE) data for a relaxed Gd2GeO5 crystal, as listed in the Open Quantum Materials Database.

Raw total energy ... -7.74 eV/atom
Space-group type ... No. 14
Calculated volume ... 429.5 Å³ per cell

abc: 9.2835 7.0604 6.7874
angles: 90.00 105.11 90.00
Last column: nearest neighbours and their distance in Å.
Element x y z (fractional)
Gd1 0.3674 0.3641 0.0461  7 O 2.27-2.47
Gd2 0.0266 0.3728 0.2311  6 O 2.26-2.50
Gd3 0.9734 0.8728 0.2689  6 O 2.26-2.50
Gd4 0.6326 0.8641 0.4539  7 O 2.27-2.47
Gd5 0.3674 0.1359 0.5461  7 O 2.27-2.47
Gd6 0.0266 0.1272 0.7311  6 O 2.26-2.50
Gd7 0.9734 0.6272 0.7689  6 O 2.26-2.50
Gd8 0.6326 0.6359 0.9539  7 O 2.27-2.47
Ge1 0.3020 0.9074 0.0262  4 O 1.72-1.81
Ge2 0.6980 0.4074 0.4738  4 O 1.72-1.81
Ge3 0.3020 0.5926 0.5262  4 O 1.72-1.81
Ge4 0.6980 0.0926 0.9738  4 O 1.72-1.81
O1 0.8927 0.1355 0.0062  1 Ge 1.79
O2 0.6113 0.2999 0.0108  1 Ge 1.72
O3 0.8884 0.6157 0.0666  4 Gd 2.26-2.35
O4 0.7150 0.9159 0.1713  1 Ge 1.81
O5 0.3951 0.0615 0.2219  1 Ge 1.76
O6 0.6049 0.5615 0.2781  1 Ge 1.76
O7 0.2850 0.4159 0.3287  1 Ge 1.81
O8 0.1116 0.1157 0.4334  4 Gd 2.26-2.35
O9 0.3887 0.7999 0.4892  1 Ge 1.72
O10 0.1073 0.6355 0.4938  1 Ge 1.79
O11 0.8927 0.3645 0.5062  1 Ge 1.79
O12 0.6113 0.2001 0.5108  1 Ge 1.72
O13 0.8884 0.8843 0.5666  4 Gd 2.26-2.35
O14 0.7150 0.5841 0.6713  1 Ge 1.81
O15 0.3951 0.4385 0.7219  1 Ge 1.76
O16 0.6049 0.9385 0.7781  1 Ge 1.76
O17 0.2850 0.0841 0.8287  1 Ge 1.81
O18 0.1116 0.3843 0.9334  4 Gd 2.26-2.35
O19 0.3887 0.7001 0.9892  1 Ge 1.72
O20 0.1073 0.8645 0.9938  1 Ge 1.79

***

First-principles (PBE) data for a relaxed LuHfBeIr crystal, as listed in the Open Quantum Materials Database.

Raw total energy ... -7.22 eV/atom
Space-group type ... No. 216
Calculated volume ... 71.1 Å³ per cell

abc: 4.6495 4.6495 4.6495
angles: 60.00 60.00 60.00
Last column: nearest neighbours and their distance in Å.
Element x y z (fractional)
Be1 0.7500 0.7500 0.7500  4 Lu 2.85, 4 Hf 2.85
Hf1 0.0000 0.0000 0.0000  4 Ir 2.85, 4 Be 2.85
Ir1 0.2500 0.2500 0.2500  4 Hf 2.85, 4 Lu 2.85
Lu1 0.5000 0.5000 0.5000  4 Be 2.85, 4 Ir 2.85

***

What is the calculated volume in the seventh record? 276.4 Å³ per cell

***

Repeat the eleventh record exactly.
First-principles (PBE) data for a relaxed Gd2GeO5 crystal, as listed in the Open Quantum Materials Database.

Raw total energy ... -7.74 eV/atom
Space-group type ... No. 14
Calculated volume ... 429.5 Å³ per cell

abc: 9.2835 7.0604 6.7874
angles: 90.00 105.11 90.00
Last column: nearest neighbours and their distance in Å.
Element x y z (fractional)
Gd1 0.3674 0.3641 0.0461  7 O 2.27-2.47
Gd2 0.0266 0.3728 0.2311  6 O 2.26-2.50
Gd3 0.9734 0.8728 0.2689  6 O 2.26-2.50
Gd4 0.6326 0.8641 0.4539  7 O 2.27-2.47
Gd5 0.3674 0.1359 0.5461  7 O 2.27-2.47
Gd6 0.0266 0.1272 0.7311  6 O 2.26-2.50
Gd7 0.9734 0.6272 0.7689  6 O 2.26-2.50
Gd8 0.6326 0.6359 0.9539  7 O 2.27-2.47
Ge1 0.3020 0.9074 0.0262  4 O 1.72-1.81
Ge2 0.6980 0.4074 0.4738  4 O 1.72-1.81
Ge3 0.3020 0.5926 0.5262  4 O 1.72-1.81
Ge4 0.6980 0.0926 0.9738  4 O 1.72-1.81
O1 0.8927 0.1355 0.0062  1 Ge 1.79
O2 0.6113 0.2999 0.0108  1 Ge 1.72
O3 0.8884 0.6157 0.0666  4 Gd 2.26-2.35
O4 0.7150 0.9159 0.1713  1 Ge 1.81
O5 0.3951 0.0615 0.2219  1 Ge 1.76
O6 0.6049 0.5615 0.2781  1 Ge 1.76
O7 0.2850 0.4159 0.3287  1 Ge 1.81
O8 0.1116 0.1157 0.4334  4 Gd 2.26-2.35
O9 0.3887 0.7999 0.4892  1 Ge 1.72
O10 0.1073 0.6355 0.4938  1 Ge 1.79
O11 0.8927 0.3645 0.5062  1 Ge 1.79
O12 0.6113 0.2001 0.5108  1 Ge 1.72
O13 0.8884 0.8843 0.5666  4 Gd 2.26-2.35
O14 0.7150 0.5841 0.6713  1 Ge 1.81
O15 0.3951 0.4385 0.7219  1 Ge 1.76
O16 0.6049 0.9385 0.7781  1 Ge 1.76
O17 0.2850 0.0841 0.8287  1 Ge 1.81
O18 0.1116 0.3843 0.9334  4 Gd 2.26-2.35
O19 0.3887 0.7001 0.9892  1 Ge 1.72
O20 0.1073 0.8645 0.9938  1 Ge 1.79